No. 1
A plane-wave DFT calculation with PBE-GGA was carried out for a relaxed structure of Rb2VCl.

Cell lengths 9.280, 9.280, 8.142 Å; angles 55.26, 55.26, 90.00 degrees
Each line ends with the local moment (μB).
Fractional coordinates of all 8 atoms:
Rb (0.185, 0.625, 0.250)  0.01
Rb (0.875, 0.815, 0.750)  0.01
V (0.000, 0.000, 0.000)  3.19
Rb (0.375, 0.435, 0.750)  0.01
V (0.750, 0.250, 0.500)  3.19
Cl (0.500, 0.500, 0.000)  0.00
Cl (0.250, 0.750, 0.500)  0.00
Rb (0.565, 0.125, 0.250)  0.01

Calculated values
formation energy (no corrections): 135 meV per atom
relative energy among the computed polymorphs: 0.000 eV/atom
calculated volume: 51.9 A^3/atom


No. 2
A plane-wave DFT calculation with PBE-GGA was carried out for a relaxed structure of Rb2VCl7.

Cell lengths 8.096, 8.096, 7.311 Å; angles 56.38, 56.38, 90.00 degrees
Each line ends with the local moment (μB).
Fractional coordinates of all 10 atoms:
Cl (0.793, 0.793, 0.000)  0.00
Cl (0.500, 0.500, 0.000)  0.04
Cl (0.756, 0.756, 0.487)  -0.01
Cl (0.793, 0.207, 0.000)  0.00
Cl (0.207, 0.207, 0.000)  0.00
Rb (0.250, 0.750, 0.500)  0.00
Cl (0.207, 0.793, 0.000)  0.00
V (0.000, 0.000, 0.000)  1.11
Cl (0.244, 0.244, 0.513)  -0.01
Rb (0.750, 0.250, 0.500)  0.00

Calculated values
formation energy (no corrections): -1195 meV per atom
relative energy among the computed polymorphs: 0.059 eV/atom
calculated volume: 29.8 A^3/atom


No. 3
A plane-wave DFT calculation with PBE-GGA was carried out for a relaxed structure of Rb2VCl6.

Cell lengths 7.187, 7.187, 7.187 Å; angles 60.00, 60.00, 60.00 degrees
Each line ends with the local moment (μB).
Fractional coordinates of all 9 atoms:
Cl (0.229, 0.229, 0.771)  -0.03
Cl (0.771, 0.771, 0.229)  -0.03
Rb (0.250, 0.250, 0.250)  0.00
V (0.000, 0.000, 0.000)  1.03
Cl (0.229, 0.771, 0.229)  -0.01
Cl (0.229, 0.771, 0.771)  -0.01
Cl (0.771, 0.229, 0.229)  -0.01
Cl (0.771, 0.229, 0.771)  -0.01
Rb (0.750, 0.750, 0.750)  0.00

Calculated values
formation energy (no corrections): -1546 meV per atom
calculated volume: 29.2 A^3/atom


> What is the formula in the third record?

Rb2VCl6